[1]
Compound: NdTaB4
Source: the Open Quantum Materials Database
Functional: PBE-GGA
Structure: relaxed

extended XYZ file:
```
6
Lattice="3.157 0.000 0.000 -1.579 2.734 0.000 0.000 0.000 7.583" Properties=species:S:1:pos:R:3 pbc="T T T"
Nd 0.000 0.000 0.000
Ta 0.000 0.000 3.791
B 0.000 1.823 2.147
B 0.000 1.823 5.436
B 1.579 0.911 2.147
B 1.579 0.911 5.436
```

Output
* total DFT energy (no corrections): -47.1 eV for the cell shown
* symmetry: P6/mmm, No. 191
* ρ: 9.3 Mg/m³
* crystal system: hexagonal
* total magnetic moment: 0.00 μB per formula unit

***

[2]
Compound: DyTlCo
Source: the Open Quantum Materials Database
Functional: PBE-GGA
Structure: relaxed

extended XYZ file:
```
3
Lattice="0.000 3.372 3.372 3.372 0.000 3.372 3.372 3.372 0.000" Properties=species:S:1:pos:R:3 pbc="T T T"
Dy 0.000 0.000 0.000
Tl 1.686 1.686 1.686
Co 5.057 5.057 5.057
```

Output
* total DFT energy (no corrections): -12.2 eV for the cell shown
* symmetry: F-43m, No. 216
* ρ: 9.2 Mg/m³
* crystal system: cubic
* total magnetic moment: 0.93 μB per formula unit